Record 1
## ZrIn2Mo (GGA-PBE)

Data for crystalline ZrIn2Mo at its relaxed geometry.

Properties
- Magnetization: 0.0 μB/cell
- ΔH_f (0 K): 104 meV per atom
- Calculated total energy: -6.11 eV per atom
- Distance to the lowest polymorph of the same formula: 0.068 eV per atom
- Theoretical density: 8.6 g/cm³

Cell and atoms, written as CIF:
```
data_ZrIn2Mo
_chemical_formula_sum 'Zr2 In4 Mo2'
_symmetry_space_group_name_H-M 'C 1 2/m 1'
_symmetry_Int_Tables_number 12
_symmetry_space_group_name_Hall '-C 2y'
_cell_length_a 5.931
_cell_length_b 9.207
_cell_length_c 2.976
_cell_angle_alpha 90.00
_cell_angle_beta 97.73
_cell_angle_gamma 90.00
loop_
_atom_site_label
_atom_site_type_symbol
_atom_site_fract_x
_atom_site_fract_y
_atom_site_fract_z
_atom_site_occupancy
Zr1 Zr 0.000 0.000 0.000 1
In1 In 0.250 0.250 0.500 1
Mo1 Mo 0.000 0.500 0.000 1
```

***

Record 2
## Na2ZnGa6 (GGA-PBE)

Data for crystalline Na2ZnGa6 at its relaxed geometry.

Properties
- Magnetization: 0.0 μB/cell
- ΔH_f (0 K): -87 meV per atom
- Calculated total energy: -2.54 eV per atom
- Theoretical density: 4.8 g/cm³

Cell and atoms, written as CIF:
```
data_Na2ZnGa6
_chemical_formula_sum 'Na4 Zn2 Ga12'
_symmetry_space_group_name_H-M 'C 1 2/m 1'
_symmetry_Int_Tables_number 12
_symmetry_space_group_name_Hall '-C 2y'
_cell_length_a 10.370
_cell_length_b 5.998
_cell_length_c 5.850
_cell_angle_alpha 90.00
_cell_angle_beta 90.02
_cell_angle_gamma 90.00
loop_
_atom_site_label
_atom_site_type_symbol
_atom_site_fract_x
_atom_site_fract_y
_atom_site_fract_z
_atom_site_occupancy
Na1 Na 0.166 0.000 0.140 1
Zn1 Zn 0.000 0.500 0.000 1
Ga1 Ga 0.089 0.234 0.664 1
Ga2 Ga 0.177 0.500 0.335 1
```

***

Record 3
## Ba2ZnCr (GGA-PBE)

Data for crystalline Ba2ZnCr at its relaxed geometry.

Properties
- Magnetization: 8.9 μB/cell
- ΔH_f (0 K): 327 meV per atom
- Calculated total energy: -3.36 eV per atom
- Theoretical density: 4.7 g/cm³

Cell and atoms, written as CIF:
```
data_Ba2ZnCr
_chemical_formula_sum 'Ba4 Zn2 Cr2'
_symmetry_space_group_name_H-M 'I m m 2'
_symmetry_Int_Tables_number 44
_symmetry_space_group_name_Hall 'I 2 -2'
_cell_length_a 4.151
_cell_length_b 5.704
_cell_length_c 11.609
_cell_angle_alpha 90.00
_cell_angle_beta 90.00
_cell_angle_gamma 90.00
loop_
_atom_site_label
_atom_site_type_symbol
_atom_site_fract_x
_atom_site_fract_y
_atom_site_fract_z
_atom_site_occupancy
Ba1 Ba 0.000 0.000 0.000 1
Ba2 Ba 0.000 0.500 0.200 1
Zn1 Zn 0.000 0.000 0.432 1
Cr1 Cr 0.000 0.500 0.789 1
```

***

Record 4
## Y4AlOs (GGA-PBE)

Data for crystalline Y4AlOs at its relaxed geometry.

Properties
- Magnetization: 0.0 μB/cell
- ΔH_f (0 K): 792 meV per atom
- Calculated total energy: -6.01 eV per atom
- Distance to the lowest polymorph of the same formula: 1.082 eV per atom
- Theoretical density: 6.4 g/cm³

Cell and atoms, written as CIF:
```
data_Y4AlOs
_chemical_formula_sum 'Y16 Al4 Os4'
_symmetry_space_group_name_H-M 'F -4 3 m'
_symmetry_Int_Tables_number 216
_symmetry_space_group_name_Hall 'F -4 2 3'
_cell_length_a 8.416
_cell_length_b 8.416
_cell_length_c 8.416
_cell_angle_alpha 90.00
_cell_angle_beta 90.00
_cell_angle_gamma 90.00
loop_
_atom_site_label
_atom_site_type_symbol
_atom_site_fract_x
_atom_site_fract_y
_atom_site_fract_z
_atom_site_occupancy
Y1 Y 0.123 0.123 0.377 1
Al1 Al 0.000 0.000 0.000 1
Os1 Os 0.250 0.250 0.750 1
```

***

Record 5
## HfGe3Os (GGA-PBE)

Data for crystalline HfGe3Os at its relaxed geometry.

Properties
- Magnetization: 0.0 μB/cell
- ΔH_f (0 K): 714 meV per atom
- Calculated total energy: -6.29 eV per atom
- Theoretical density: 8.9 g/cm³

Cell and atoms, written as CIF:
```
data_HfGe3Os
_chemical_formula_sum 'Hf1 Ge3 Os1'
_symmetry_space_group_name_H-M 'P m -3 m'
_symmetry_Int_Tables_number 221
_symmetry_space_group_name_Hall '-P 4 2 3'
_cell_length_a 4.781
_cell_length_b 4.781
_cell_length_c 4.781
_cell_angle_alpha 90.00
_cell_angle_beta 90.00
_cell_angle_gamma 90.00
loop_
_atom_site_label
_atom_site_type_symbol
_atom_site_fract_x
_atom_site_fract_y
_atom_site_fract_z
_atom_site_occupancy
Hf1 Hf 0.000 0.000 0.000 1
Ge1 Ge 0.000 0.500 0.500 1
Os1 Os 0.500 0.500 0.500 1
```

***

Record 6
## TbPm6Y2Th (GGA-PBE)

Data for crystalline TbPm6Y2Th at its relaxed geometry.

Properties
- Magnetization: 0.0 μB/cell
- ΔH_f (0 K): 147 meV per atom
- Calculated total energy: -5.20 eV per atom
- Theoretical density: 7.0 g/cm³

Cell and atoms, written as CIF:
```
data_TbPm6Y2Th
_chemical_formula_sum 'Tb4 Pm24 Y8 Th4'
_symmetry_space_group_name_H-M 'C 1 2/c 1'
_symmetry_Int_Tables_number 15
_symmetry_space_group_name_Hall '-C 2yc'
_cell_length_a 9.527
_cell_length_b 15.025
_cell_length_c 9.532
_cell_angle_alpha 90.00
_cell_angle_beta 95.79
_cell_angle_gamma 90.00
loop_
_atom_site_label
_atom_site_type_symbol
_atom_site_fract_x
_atom_site_fract_y
_atom_site_fract_z
_atom_site_occupancy
Tb1 Tb 0.000 0.091 0.250 1
Pm1 Pm 0.063 0.327 0.438 1
Pm2 Pm 0.091 0.114 0.615 1
Pm3 Pm 0.209 0.282 0.811 1
Y1 Y 0.249 0.454 0.055 1
Th1 Th 0.000 0.465 0.750 1
```

***

Record 7
## CrGa2Pt (GGA-PBE)

Data for crystalline CrGa2Pt at its relaxed geometry.

Properties
- Magnetization: 14.6 μB/cell
- ΔH_f (0 K): -247 meV per atom
- Calculated total energy: -5.68 eV per atom
- Theoretical density: 10.6 g/cm³

Cell and atoms, written as CIF:
```
data_CrGa2Pt
_chemical_formula_sum 'Cr4 Ga8 Pt4'
_symmetry_space_group_name_H-M 'F m -3 m'
_symmetry_Int_Tables_number 225
_symmetry_space_group_name_Hall '-F 4 2 3'
_cell_length_a 6.230
_cell_length_b 6.230
_cell_length_c 6.230
_cell_angle_alpha 90.00
_cell_angle_beta 90.00
_cell_angle_gamma 90.00
loop_
_atom_site_label
_atom_site_type_symbol
_atom_site_fract_x
_atom_site_fract_y
_atom_site_fract_z
_atom_site_occupancy
Cr1 Cr 0.000 0.000 0.000 1
Ga1 Ga 0.250 0.250 0.250 1
Pt1 Pt 0.000 0.000 0.500 1
```

***

Record 8
## Pr6Dy12Mg (GGA-PBE)

Data for crystalline Pr6Dy12Mg at its relaxed geometry.

Properties
- Magnetization: 0.0 μB/cell
- ΔH_f (0 K): 130 meV per atom
- Calculated total energy: -4.37 eV per atom
- Theoretical density: 7.2 g/cm³

Cell and atoms, written as CIF:
```
data_Pr6Dy12Mg
_chemical_formula_sum 'Pr18 Dy36 Mg3'
_symmetry_space_group_name_H-M 'R -3 m'
_symmetry_Int_Tables_number 166
_symmetry_space_group_name_Hall '-R 3 2"'
_cell_length_a 13.1272
_cell_length_b 13.1272
_cell_length_c 12.9988
_cell_angle_alpha 90.00
_cell_angle_beta 90.00
_cell_angle_gamma 120.00
loop_
_atom_site_label
_atom_site_type_symbol
_atom_site_fract_x
_atom_site_fract_y
_atom_site_fract_z
_atom_site_occupancy
Pr1 Pr 0.0913 0.1825 0.2738 1
Dy1 Dy 0.0000 0.2617 0.5000 1
Dy2 Dy 0.0497 0.5249 0.6165 1
Mg1 Mg 0.0000 0.0000 0.5000 1
```